VASP calculation (PBE) on an optimized crystal structure of KLa2Al2.

The value obtained for the formation energy is -0.05 eV per atom. Its size of the total moment is 0.00 μB per formula unit. As for the energy: -3.741 eV/atom. The calculation puts the density of states at the Fermi level at 0.91 states/eV per atom.

The structure belongs to space group P4/mbm (No. 127); the cell edges are 9.712, 9.712 and 3.295 Å and the angles 90.00°, 90.00° and 90.00°. The inequivalent atoms are K at (0.000, 0.000, 0.000), La at (0.127, 0.373, 0.000) and Al at (0.168, 0.668, 0.500).

VASP calculation (PBE) on an optimized crystal structure of K4LaAl.

The value obtained for the formation energy is 0.64 eV per atom. Its size of the total moment is 0.36 μB per formula unit. As for the energy: -1.541 eV/atom. The calculation puts the density of states at the Fermi level at 1.39 states/eV per atom.

The structure belongs to space group F-43m (No. 216); the cell edges are 10.361, 10.361 and 10.361 Å and the angles 90.00°, 90.00° and 90.00°. The inequivalent atoms are K at (0.123, 0.123, 0.377), La at (0.000, 0.000, 0.000) and Al at (0.250, 0.250, 0.750).

VASP calculation (PBE) on an optimized crystal structure of K2LaAl.

The value obtained for the formation energy is 0.50 eV per atom. Its size of the total moment is 0.26 μB per formula unit. As for the energy: -2.211 eV/atom. The calculation puts the density of states at the Fermi level at 1.36 states/eV per atom.

The structure belongs to space group P4/mmm (No. 123); the cell edges are 3.516, 3.516 and 12.959 Å and the angles 90.00°, 90.00° and 90.00°. The inequivalent atoms are K at (0.000, 0.000, 0.212), La at (0.500, 0.500, 0.500) and Al at (0.500, 0.500, 0.000).

VASP calculation (PBE) on an optimized crystal structure of K2LaAl.

The value obtained for the formation energy is 0.50 eV per atom. Its size of the total moment is 0.20 μB per formula unit. As for the energy: -2.220 eV/atom. The calculation puts the density of states at the Fermi level at 1.35 states/eV per atom.

The structure belongs to space group Cmmm (No. 65); the cell edges are 3.933, 6.018 and 13.421 Å and the angles 90.00°, 90.00° and 90.00°. The inequivalent atoms are K at (0.000, 0.000, 0.221), La at (0.000, 0.500, 0.500) and Al at (0.000, 0.500, 0.000).

VASP calculation (PBE) on an optimized crystal structure of KLaAl2.

The value obtained for the formation energy is 0.33 eV per atom. Its size of the total moment is 0.00 μB per formula unit. As for the energy: -3.046 eV/atom. The calculation puts the density of states at the Fermi level at 1.27 states/eV per atom.

The structure belongs to space group F-43m (No. 216); the cell edges are 7.580, 7.580 and 7.580 Å and the angles 90.00°, 90.00° and 90.00°. The inequivalent atoms are K at (0.000, 0.000, 0.000), La at (0.250, 0.250, 0.750), Al at (0.000, 0.000, 0.500) and Al at (0.250, 0.250, 0.250).

VASP calculation (PBE) on an optimized crystal structure of KLaAl2.

The value obtained for the formation energy is 0.04 eV per atom. Its size of the total moment is 0.00 μB per formula unit. As for the energy: -3.333 eV/atom. The calculation puts the density of states at the Fermi level at 0.63 states/eV per atom.

The structure belongs to space group Pmmm (No. 47); the cell edges are 3.322, 4.812 and 7.880 Å and the angles 90.00°, 90.00° and 90.00°. The inequivalent atoms are K at (0.000, 0.000, 0.000), La at (0.000, 0.000, 0.500) and Al at (0.500, 0.500, 0.317).

VASP calculation (PBE) on an optimized crystal structure of K2LaAl.

The value obtained for the formation energy is 0.47 eV per atom. Its size of the total moment is 0.01 μB per formula unit. As for the energy: -2.247 eV/atom. The calculation puts the density of states at the Fermi level at 0.58 states/eV per atom.

The structure belongs to space group R-3m (No. 166, hexagonal axes); the cell edges are 3.6932, 3.6932 and 40.3693 Å and the angles 90.00°, 90.00° and 120.00°. The inequivalent atoms are K at (0.0000, 0.0000, 0.2396), La at (0.0000, 0.0000, 0.0000) and Al at (0.0000, 0.0000, 0.5000).

VASP calculation (PBE) on an optimized crystal structure of K2LaAl.

The value obtained for the formation energy is 0.36 eV per atom. Its size of the total moment is 1.77 μB per formula unit. As for the energy: -2.359 eV/atom. The calculation puts the density of states at the Fermi level at 1.05 states/eV per atom.

The structure belongs to space group I4/mmm (No. 139); the cell edges are 4.839, 4.839 and 13.136 Å and the angles 90.00°, 90.00° and 90.00°. The inequivalent atoms are K at (0.000, 0.500, 0.250), La at (0.000, 0.000, 0.000) and Al at (0.000, 0.000, 0.500).

VASP calculation (PBE) on an optimized crystal structure of KLaAl3.

The value obtained for the formation energy is 0.78 eV per atom. Its size of the total moment is 0.00 μB per formula unit. As for the energy: -2.666 eV/atom. The calculation puts the density of states at the Fermi level at 1.42 states/eV per atom.

The structure belongs to space group Pm-3m (No. 221); the cell edges are 5.852, 5.852 and 5.852 Å and the angles 90.00°, 90.00° and 90.00°. The inequivalent atoms are K at (0.000, 0.000, 0.000), La at (0.500, 0.500, 0.500) and Al at (0.000, 0.500, 0.500).

VASP calculation (PBE) on an optimized crystal structure of K2LaAlO4.

For the formation energy without anion corrections, the calculation gives -2513 meV per atom. Its size of the total moment is 0.00 μB per formula unit. As for the energy: -6.350 eV/atom. The calculation puts the density of states at the Fermi level at 0.00 states/eV per atom.

The structure belongs to space group Pmn2_1 (No. 31); the cell edges are 6.977, 7.320 and 5.921 Å and the angles 90.00°, 90.00° and 90.00°. The inequivalent atoms are K at (0.241, 0.150, 0.000), La at (0.000, 0.387, 0.484), Al at (0.000, 0.668, 0.978), O at (0.000, 0.442, 0.101), O at (0.000, 0.647, 0.676) and O at (0.220, 0.784, 0.052).

VASP calculation (PBE) on an optimized crystal structure of K3La3AlO8.

For the formation energy without anion corrections, the calculation gives -2473 meV per atom. Its size of the total moment is 1.11 μB per formula unit. As for the energy: -6.572 eV/atom. The calculation puts the density of states at the Fermi level at 0.77 states/eV per atom.

The structure belongs to space group R-3m (No. 166, hexagonal axes); the cell edges are 7.0748, 7.0748 and 18.9735 Å and the angles 90.00°, 90.00° and 120.00°. The inequivalent atoms are K at (0.0000, 0.5000, 0.0000), La at (0.0000, 0.5000, 0.5000), Al at (0.0000, 0.0000, 0.5000), O at (0.0000, 0.0000, 0.2312) and O at (0.0495, 0.5248, 0.2233).

VASP calculation (PBE) on an optimized crystal structure of KLaAlPd2.

The value obtained for the formation energy is 0.09 eV per atom. Its size of the total moment is 0.00 μB per formula unit. As for the energy: -3.945 eV/atom. The calculation puts the density of states at the Fermi level at 1.05 states/eV per atom.

The structure belongs to space group P4/mmm (No. 123); the cell edges are 4.866, 4.866 and 5.260 Å and the angles 90.00°, 90.00° and 90.00°. The inequivalent atoms are K at (0.000, 0.000, 0.000), La at (0.500, 0.500, 0.000), Al at (0.000, 0.000, 0.500) and Pd at (0.000, 0.500, 0.500).

VASP calculation (PBE) on an optimized crystal structure of KLa2AlRu.

The value obtained for the formation energy is -0.09 eV per atom. Its size of the total moment is 0.00 μB per formula unit. As for the energy: -4.886 eV/atom. The calculation puts the density of states at the Fermi level at 0.87 states/eV per atom.

The structure belongs to space group P4/mmm (No. 123); the cell edges are 5.553, 5.553 and 5.121 Å and the angles 90.00°, 90.00° and 90.00°. The inequivalent atoms are K at (0.000, 0.000, 0.000), La at (0.000, 0.500, 0.500), Al at (0.500, 0.500, 0.000) and Ru at (0.500, 0.500, 0.500).

VASP calculation (PBE) on an optimized crystal structure of K2LaAlS4.

For the formation energy without anion corrections, the calculation gives -1393 meV per atom. Its size of the total moment is 0.00 μB per formula unit. As for the energy: -4.815 eV/atom.

The structure belongs to space group Imma (No. 74); the cell edges are 7.878, 8.649 and 11.728 Å and the angles 90.00°, 90.00° and 90.00°. The inequivalent atoms are K at (0.000, 0.000, 0.000), K at (0.250, 0.250, 0.250), La at (0.000, 0.000, 0.500), Al at (0.250, 0.250, 0.750), S at (0.000, 0.058, 0.745) and S at (0.235, 0.250, 0.530).

VASP calculation (PBE) on an optimized crystal structure of KLa2AlS.

For the formation energy without anion corrections, the calculation gives 739 meV per atom. Its size of the total moment is 0.00 μB per formula unit. As for the energy: -3.025 eV/atom. The calculation puts the density of states at the Fermi level at 0.83 states/eV per atom.

The structure belongs to space group P4/mmm (No. 123); the cell edges are 5.655, 5.655 and 5.126 Å and the angles 90.00°, 90.00° and 90.00°. The inequivalent atoms are K at (0.000, 0.000, 0.000), La at (0.000, 0.500, 0.000), Al at (0.500, 0.500, 0.500) and S at (0.000, 0.000, 0.500).

VASP calculation (PBE) on an optimized crystal structure of K2LaAl2Sb4.

For the formation energy without anion corrections, the calculation gives -517 meV per atom. Its size of the total moment is 0.00 μB per formula unit. As for the energy: -3.973 eV/atom. The calculation puts the density of states at the Fermi level at 0.38 states/eV per atom.

The structure belongs to space group C2/m (No. 12); the cell edges are 16.936, 4.450 and 8.449 Å and the angles 90.00°, 108.47° and 90.00°. The inequivalent atoms are K at (0.134, 0.000, 0.054), La at (0.000, 0.000, 0.500), Al at (0.168, 0.500, 0.469), Sb at (0.016, 0.500, 0.237) and Sb at (0.206, 0.000, 0.677).

VASP calculation (PBE) on an optimized crystal structure of K2LaAlTc.

The value obtained for the formation energy is 1.39 eV per atom. Its size of the total moment is 3.78 μB per formula unit. As for the energy: -2.860 eV/atom. The calculation puts the density of states at the Fermi level at 1.21 states/eV per atom.

The structure belongs to space group P4/mmm (No. 123); the cell edges are 6.230, 6.230 and 5.912 Å and the angles 90.00°, 90.00° and 90.00°. The inequivalent atoms are K at (0.000, 0.500, 0.000), La at (0.000, 0.000, 0.500), Al at (0.000, 0.000, 0.000) and Tc at (0.500, 0.500, 0.500).

VASP calculation (PBE) on an optimized crystal structure of K2LaAlTc.

The value obtained for the formation energy is 1.08 eV per atom. Its size of the total moment is 0.89 μB per formula unit. As for the energy: -3.165 eV/atom. The calculation puts the density of states at the Fermi level at 1.01 states/eV per atom.

The structure belongs to space group P4/mmm (No. 123); the cell edges are 5.879, 5.879 and 4.916 Å and the angles 90.00°, 90.00° and 90.00°. The inequivalent atoms are K at (0.000, 0.500, 0.000), La at (0.000, 0.000, 0.500), Al at (0.500, 0.500, 0.500) and Tc at (0.500, 0.500, 0.000).

VASP calculation (PBE) on an optimized crystal structure of K4La3AlTe8.

For the formation energy without anion corrections, the calculation gives -1239 meV per atom. Its size of the total moment is 0.00 μB per formula unit. As for the energy: -4.242 eV/atom. The calculation puts the density of states at the Fermi level at 0.02 states/eV per atom.

The structure belongs to space group R-3m (No. 166, hexagonal axes); the cell edges are 9.2166, 9.2166 and 24.7014 Å and the angles 90.00°, 90.00° and 120.00°. The inequivalent atoms are K at (0.0000, 0.0000, 0.0000), K at (0.0000, 0.5000, 0.0000), La at (0.0000, 0.5000, 0.5000), Al at (0.0000, 0.0000, 0.5000), Te at (0.0000, 0.0000, 0.2398) and Te at (0.0291, 0.5146, 0.2344).

VASP calculation (PBE) on an optimized crystal structure of K3La3AlTe8.

For the formation energy without anion corrections, the calculation gives -1154 meV per atom. Its size of the total moment is 0.00 μB per formula unit. As for the energy: -4.284 eV/atom. The calculation puts the density of states at the Fermi level at 1.18 states/eV per atom.

The structure belongs to space group C2/m (No. 12); the cell edges are 15.810, 9.114 and 9.978 Å and the angles 90.00°, 121.90° and 90.00°. The inequivalent atoms are K at (0.000, 0.000, 0.000), K at (0.250, 0.250, 0.000), La at (0.000, 0.500, 0.500), La at (0.250, 0.250, 0.500), Al at (0.000, 0.000, 0.500), Te at (0.009, 0.224, 0.303), Te at (0.215, 0.000, 0.697) and Te at (0.240, 0.500, 0.719).

VASP calculation (PBE) on an optimized crystal structure of K2LaAlTe4.

For the formation energy without anion corrections, the calculation gives -981 meV per atom. Its size of the total moment is 0.00 μB per formula unit. As for the energy: -3.910 eV/atom. The calculation puts the density of states at the Fermi level at 0.04 states/eV per atom.

The structure belongs to space group C2/c (No. 15); the cell edges are 13.094, 13.244 and 8.846 Å and the angles 90.00°, 132.49° and 90.00°. The inequivalent atoms are K at (0.000, 0.000, 0.000), K at (0.250, 0.250, 0.000), La at (0.250, 0.250, 0.500), Al at (0.000, 0.500, 0.000), Te at (0.000, 0.273, 0.012) and Te at (0.198, 0.495, 0.448).

VASP calculation (PBE) on an optimized crystal structure of KLiAl2.

The value obtained for the formation energy is 0.22 eV per atom. Its size of the total moment is 0.00 μB per formula unit. As for the energy: -2.404 eV/atom. The calculation puts the density of states at the Fermi level at 0.25 states/eV per atom.

The structure belongs to space group I-4m2 (No. 119); the cell edges are 5.012, 5.012 and 7.106 Å and the angles 90.00°, 90.00° and 90.00°. The inequivalent atoms are K at (0.000, 0.000, 0.000), Li at (0.000, 0.500, 0.750), Al at (0.000, 0.000, 0.500) and Al at (0.000, 0.500, 0.250).

VASP calculation (PBE) on an optimized crystal structure of KLiAl2.

The value obtained for the formation energy is 0.38 eV per atom. Its size of the total moment is 0.00 μB per formula unit. As for the energy: -2.248 eV/atom. The calculation puts the density of states at the Fermi level at 0.73 states/eV per atom.

The structure belongs to space group I4/mmm (No. 139); the cell edges are 4.332, 4.332 and 10.498 Å and the angles 90.00°, 90.00° and 90.00°. The inequivalent atoms are K at (0.000, 0.000, 0.000), Li at (0.000, 0.000, 0.500) and Al at (0.000, 0.500, 0.250).

VASP calculation (PBE) on an optimized crystal structure of KLiAl2.

The value obtained for the formation energy is 0.33 eV per atom. Its size of the total moment is 0.00 μB per formula unit. As for the energy: -2.297 eV/atom. The calculation puts the density of states at the Fermi level at 0.44 states/eV per atom.

The structure belongs to space group I-42d (No. 122); the cell edges are 4.896, 4.896 and 20.636 Å and the angles 90.00°, 90.00° and 90.00°. The inequivalent atoms are K at (0.000, 0.000, 0.000), Li at (0.000, 0.000, 0.500) and Al at (0.076, 0.750, 0.625).

VASP calculation (PBE) on an optimized crystal structure of KLi3Al.

The value obtained for the formation energy is 0.83 eV per atom. Its size of the total moment is 0.00 μB per formula unit. As for the energy: -1.285 eV/atom. The calculation puts the density of states at the Fermi level at 0.61 states/eV per atom.

The structure belongs to space group Pm-3m (No. 221); the cell edges are 5.133, 5.133 and 5.133 Å and the angles 90.00°, 90.00° and 90.00°. The inequivalent atoms are K at (0.000, 0.000, 0.000), Li at (0.000, 0.000, 0.500) and Al at (0.500, 0.500, 0.500).